Entry from Alexandria: a relaxed RhAuS2 crystal (PBE).

## Properties
final energy = -4.5658 eV per atom
ρ = 8.79 g/cm³
formation energy without anion corrections = 0.16 eV/atom
V = 17.2 Å³/atom
symmetry = Cmcm

abc: 10.692 10.692 4.562
angles: 90.00 90.00 164.70
Fractional positions:
S  0.936  0.064  0.250
S  0.064  0.936  0.750
S  0.834  0.166  0.750
S  0.166  0.834  0.250
Rh  0.957  0.043  0.750
Rh  0.043  0.957  0.250
Au  0.310  0.690  0.250
Au  0.690  0.310  0.750

=====

Entry from Alexandria: a relaxed Ac3Ge5Au6 crystal (PBE).

## Properties
final energy = -4.5133 eV per atom
ρ = 11.46 g/cm³
energy of formation from the pure elements = -0.579 eV per atom
V = 23.0 Å³/atom
symmetry = Pmmn

abc: 4.531 10.439 13.636
angles: 90.00 90.00 90.00
Fractional positions:
Ge  0.500  0.134  0.165
Ge  0.000  0.519  0.134
Ge  0.000  0.841  0.000
Ge  0.500  0.134  0.835
Ge  0.500  0.481  0.366
Ge  0.500  0.159  0.500
Ge  0.000  0.519  0.866
Ge  0.000  0.866  0.335
Ge  0.000  0.866  0.665
Ge  0.500  0.481  0.634
Au  0.000  0.008  0.500
Au  0.500  0.992  0.000
Au  0.000  0.997  0.163
Au  0.500  0.383  0.820
Au  0.500  0.003  0.337
Au  0.500  0.524  0.000
Au  0.000  0.617  0.320
Au  0.000  0.617  0.680
Au  0.000  0.476  0.500
Au  0.500  0.383  0.180
Au  0.500  0.003  0.663
Au  0.000  0.997  0.837
Ac  0.000  0.250  0.330
Ac  0.000  0.250  0.670
Ac  0.000  0.248  0.000
Ac  0.500  0.750  0.170
Ac  0.500  0.752  0.500
Ac  0.500  0.750  0.830

=====

Repeat the first record exactly.
Entry from Alexandria: a relaxed RhAuS2 crystal (PBE).

## Properties
final energy = -4.5658 eV per atom
ρ = 8.79 g/cm³
formation energy without anion corrections = 0.16 eV/atom
V = 17.2 Å³/atom
symmetry = Cmcm

abc: 10.692 10.692 4.562
angles: 90.00 90.00 164.70
Fractional positions:
S  0.936  0.064  0.250
S  0.064  0.936  0.750
S  0.834  0.166  0.750
S  0.166  0.834  0.250
Rh  0.957  0.043  0.750
Rh  0.043  0.957  0.250
Au  0.310  0.690  0.250
Au  0.690  0.310  0.750

=====

> Look up the final energy of the first one.

-4.5658 eV per atom

=====

> Which of these has the lowest ρ?

RhAuS2